# 1
CaTlPt5, relaxed, DFT PBE-GGA; size of the total moment = 0.00 μB/f.u.; E = -5.3235 eV/atom; Fermi-level density of states = 0.864 states/eV/atom; E_form = -0.3847 eV/atom
1.0
8.753 0.000 0.000
0.000 5.506 0.000
0.000 0.000 11.125
Ca Tl Pt
4 4 20
Direct
0.246 0.250 0.056
0.254 0.750 0.556
0.746 0.250 0.444
0.754 0.750 0.944
0.119 0.250 0.358
0.381 0.750 0.858
0.619 0.250 0.142
0.881 0.750 0.642
0.076 0.503 0.818
0.076 0.997 0.818
0.081 0.250 0.601
0.113 0.750 0.024
0.173 0.750 0.264
0.327 0.250 0.764
0.387 0.250 0.524
0.419 0.750 0.101
0.424 0.003 0.318
0.424 0.497 0.318
0.576 0.503 0.682
0.576 0.997 0.682
0.581 0.250 0.899
0.613 0.750 0.476
0.673 0.750 0.236
0.827 0.250 0.736
0.887 0.250 0.976
0.919 0.750 0.399
0.924 0.003 0.182
0.924 0.497 0.182

=====

# 2
CeTlZn4, relaxed, DFT PBE-GGA; size of the total moment = 0.91 μB/f.u.; E = -2.3027 eV/atom; Fermi-level density of states = 1.466 states/eV/atom; E_form = -0.0700 eV/atom
1.0
0.000 3.934 3.934
3.934 0.000 3.934
3.934 3.934 0.000
Ce Tl Zn
1 1 4
Direct
0.000 0.000 0.000
0.750 0.750 0.750
0.374 0.374 0.374
0.374 0.374 0.878
0.374 0.878 0.374
0.878 0.374 0.374

=====

# 3
MoCl2, relaxed, DFT PBE-GGA; size of the total moment = 0.00 μB/f.u.; E = -5.3144 eV/atom; Fermi-level density of states = 0.524 states/eV/atom; formation energy (no corrections) = -473 meV per atom
1.0
5.714 -1.578 0.000
5.714 1.578 0.000
-5.586 0.000 7.520
Mo Cl
2 4
Direct
0.125 0.125 0.443
0.875 0.875 0.557
0.258 0.258 0.315
0.461 0.461 0.202
0.539 0.539 0.798
0.742 0.742 0.685

=====

# 4
LaBeP2Rh, relaxed, DFT PBE-GGA; size of the total moment = 0.00 μB/f.u.; E = -6.2611 eV/atom; Fermi-level density of states = 0.476 states/eV/atom; E_form = -0.8962 eV/atom
1.0
-1.921 1.921 5.707
1.921 -1.921 5.707
1.921 1.921 -5.707
La Be P Rh
1 1 2 1
Direct
0.000 0.000 0.000
0.250 0.750 0.500
0.366 0.366 0.000
0.634 0.634 0.000
0.750 0.250 0.500

=====

# 5
SiTc2I, relaxed, DFT PBE-GGA; size of the total moment = 0.00 μB/f.u.; E = -6.0333 eV/atom; Fermi-level density of states = 1.449 states/eV/atom; formation energy (no corrections) = 893 meV per atom
1.0
-2.842 2.842 5.625
2.842 -2.842 5.625
2.842 2.842 -5.625
Si Tc I
2 4 2
Direct
0.000 0.000 0.000
0.750 0.250 0.500
0.088 0.625 0.963
0.375 0.338 0.463
0.662 0.125 0.037
0.875 0.912 0.537
0.250 0.750 0.500
0.500 0.500 0.000

=====

# 6
TcNiP2, relaxed, DFT PBE-GGA; size of the total moment = 0.00 μB/f.u.; E = -6.8155 eV/atom; Fermi-level density of states = 0.621 states/eV/atom; E_form = -0.0738 eV/atom
1.0
-1.507 1.964 4.417
1.507 -1.964 4.417
1.507 1.964 -4.417
Tc Ni P
1 1 2
Direct
0.000 0.000 0.000
0.288 0.788 0.500
0.498 0.498 0.000
0.777 0.277 0.500

=====

# 7
Nd2ScAg, relaxed, DFT PBE-GGA; size of the total moment = 0.00 μB/f.u.; E = -4.6489 eV/atom; Fermi-level density of states = 1.124 states/eV/atom; E_form = 0.0307 eV/atom
1.0
1.771 1.023 10.498
-1.771 1.023 10.498
0.000 -2.045 10.498
Nd Sc Ag
2 1 1
Direct
0.000 0.000 0.000
0.174 0.174 0.174
0.420 0.420 0.420
0.588 0.588 0.588

=====

# 8
BaV3B, relaxed, DFT PBE-GGA; size of the total moment = 0.00 μB/f.u.; E = -6.3578 eV/atom; Fermi-level density of states = 1.488 states/eV/atom; E_form = 0.8334 eV/atom
1.0
4.347 0.000 0.000
0.000 4.347 0.000
0.000 0.000 4.347
Ba V B
1 3 1
Direct
0.000 0.000 0.000
0.000 0.500 0.500
0.500 0.000 0.500
0.500 0.500 0.000
0.500 0.500 0.500